The following is a PBE calculation of a geometry-optimized NaCe4S5 structure, from Alexandria.

```
10
Lattice="-2.0178 2.0178 14.2258 2.0178 -2.0178 14.2258 2.0178 2.0178 -14.2258" Properties=species:S:1:pos:R:3 pbc="T T T"
Na 0.0000 0.0000 0.0000
Ce 0.0000 0.0000 5.7287
Ce 0.0000 0.0000 11.4471
Ce 0.0000 0.0000 17.0046
Ce 0.0000 0.0000 22.7230
S 0.0000 0.0000 2.8518
S 0.0000 0.0000 8.5749
S 0.0000 0.0000 14.2258
S 0.0000 0.0000 19.8768
S 0.0000 0.0000 25.5999
```

## Properties
* uncorrected formation energy: -1.8936 eV per atom
* polymorph energy (0 for the lowest one): 0.102 kcal/mol of atoms
* SG: I4/mmm (139)
* calculated density: 5.3 Mg/m³